Entry 1:
First-principles (SCAN) data for a crystal of BaAs2Rh2 relaxed with PBEsol, as listed in the Alexandria database.

Unit cell a=4.021 b=4.021 c=12.838 alpha=90.00 beta=90.00 gamma=90.00
Fractional positions:
Ba (0.000, 0.000, 0.000)
Ba (0.500, 0.500, 0.500)
As (0.000, 0.000, 0.357)
As (0.000, 0.000, 0.643)
As (0.500, 0.500, 0.143)
As (0.500, 0.500, 0.857)
Rh (0.000, 0.500, 0.250)
Rh (0.000, 0.500, 0.750)
Rh (0.500, 0.000, 0.250)
Rh (0.500, 0.000, 0.750)

Its formation energy is -0.968 eV/atom. Its volume is 103.8 Å³/f.u. Its space-group type is No. 139.

***

Entry 2:
First-principles (SCAN) data for a crystal of BaAsRu2 relaxed with PBEsol, as listed in the Alexandria database.

Unit cell a=3.090 b=3.755 c=7.102 alpha=90.00 beta=100.23 gamma=90.00
Fractional positions:
Ba (0.000, 0.000, 0.000)
As (0.000, 0.000, 0.500)
Ru (0.347, 0.500, 0.664)
Ru (0.653, 0.500, 0.336)

Its formation energy is 0.345 eV/atom. Its volume is 81.1 Å³/f.u. Its space-group type is No. 10.

***

Entry 3:
First-principles (SCAN) data for a crystal of BaAsRu2 relaxed with PBEsol, as listed in the Alexandria database.

Unit cell a=6.198 b=8.950 c=3.047 alpha=90.00 beta=118.71 gamma=90.00
Fractional positions:
Ba (0.000, 0.000, 0.000)
Ba (0.500, 0.500, 0.000)
As (0.000, 0.500, 0.000)
As (0.500, 0.000, 0.000)
Ru (0.250, 0.250, 0.000)
Ru (0.250, 0.750, 0.000)
Ru (0.750, 0.250, 0.000)
Ru (0.750, 0.750, 0.000)

Its formation energy is 0.844 eV/atom. Its volume is 74.1 Å³/f.u. Its space-group type is No. 12.

***

Entry 4:
First-principles (SCAN) data for a crystal of BaAsRu2 relaxed with PBEsol, as listed in the Alexandria database.

Unit cell a=3.112 b=3.112 c=7.606 alpha=90.00 beta=90.00 gamma=90.00
Fractional positions:
Ba (0.000, 0.000, 0.000)
As (0.000, 0.000, 0.500)
Ru (0.500, 0.500, 0.324)
Ru (0.500, 0.500, 0.676)

Its formation energy is 0.375 eV/atom. Its volume is 73.6 Å³/f.u. Its space-group type is No. 123.

***

Entry 5:
First-principles (SCAN) data for a crystal of Ba2AsRu relaxed with PBEsol, as listed in the Alexandria database.

Unit cell a=3.441 b=3.441 c=9.588 alpha=90.00 beta=90.00 gamma=90.00
Fractional positions:
Ba (0.000, 0.000, 0.000)
Ba (0.500, 0.500, 0.417)
As (0.500, 0.500, 0.756)
Ru (0.000, 0.000, 0.662)

Its formation energy is -0.057 eV/atom. Its volume is 113.5 Å³/f.u. Its space-group type is No. 99.

***

Entry 6:
First-principles (SCAN) data for a crystal of BaAsRu2 relaxed with PBEsol, as listed in the Alexandria database.

Unit cell a=4.523 b=4.523 c=3.536 alpha=90.00 beta=90.00 gamma=90.00
Fractional positions:
Ba (0.000, 0.000, 0.000)
As (0.500, 0.500, 0.000)
Ru (0.000, 0.500, 0.500)
Ru (0.500, 0.000, 0.500)

Its formation energy is 0.787 eV/atom. Its volume is 72.3 Å³/f.u. Its space-group type is No. 123.

***

Entry 7:
First-principles (SCAN) data for a crystal of BaAsRu relaxed with PBEsol, as listed in the Alexandria database.

Unit cell a=6.596 b=6.596 c=6.596 alpha=90.00 beta=90.00 gamma=90.00
Fractional positions:
Ba (0.000, 0.000, 0.000)
Ba (0.000, 0.500, 0.500)
Ba (0.500, 0.000, 0.500)
Ba (0.500, 0.500, 0.000)
As (0.000, 0.000, 0.500)
As (0.000, 0.500, 0.000)
As (0.500, 0.000, 0.000)
As (0.500, 0.500, 0.500)
Ru (0.250, 0.250, 0.750)
Ru (0.250, 0.750, 0.250)
Ru (0.750, 0.250, 0.250)
Ru (0.750, 0.750, 0.750)

Its formation energy is 0.277 eV/atom. Its volume is 71.8 Å³/f.u. Its space-group type is No. 216.

***

Entry 8:
First-principles (SCAN) data for a crystal of Ba2AsS relaxed with PBEsol, as listed in the Alexandria database.

Unit cell a=8.233 b=8.233 c=8.696 alpha=90.00 beta=90.00 gamma=90.00
Fractional positions:
Ba (0.230, 0.750, 0.125)
Ba (0.250, 0.230, 0.875)
Ba (0.250, 0.270, 0.375)
Ba (0.270, 0.750, 0.625)
Ba (0.730, 0.250, 0.625)
Ba (0.750, 0.730, 0.375)
Ba (0.750, 0.770, 0.875)
Ba (0.770, 0.250, 0.125)
As (0.000, 0.000, 0.500)
As (0.000, 0.500, 0.750)
As (0.500, 0.000, 0.250)
As (0.500, 0.500, 0.000)
S (0.000, 0.000, 0.000)
S (0.000, 0.500, 0.250)
S (0.500, 0.000, 0.750)
S (0.500, 0.500, 0.500)

Its formation energy without anion corrections is -5.489 eV/f.u. Its volume is 147.4 Å³/f.u. Its space-group type is No. 122.

***

Which of these has the highest volume? Ba2AsS

***

Which of these has the lowest volume? BaAsRu